w:
Density functional theory data (GGA-PBE) for BaZnCr2Ni after structural relaxation.

Cell lengths 4.850, 4.850, 4.748 Å; angles 90.00, 90.00, 90.00 degrees
Positions (direct):
Ba (0.000, 0.000, 0.000)
Zn (0.500, 0.500, 0.000)
Cr (0.000, 0.500, 0.500)
Cr (0.500, 0.000, 0.500)
Ni (0.500, 0.500, 0.500)

Computed properties:
- Space-group type: P4/mmm (123)
- Total magnetic moment: 8.23 μB/cell

=====

x:
Density functional theory data (GGA-PBE) for BaZnCr2Ni after structural relaxation.

Cell lengths 4.834, 4.834, 5.926 Å; angles 90.00, 90.00, 90.00 degrees
Positions (direct):
Ba (0.000, 0.000, 0.000)
Zn (0.000, 0.000, 0.500)
Cr (0.000, 0.500, 0.500)
Cr (0.500, 0.000, 0.500)
Ni (0.500, 0.500, 0.000)

Computed properties:
- Space-group type: P4/mmm (123)
- Total magnetic moment: 8.25 μB/cell

=====

So which one wins? Going from most stable to least: w, x.